1.
Density functional theory data (PBE) for a relaxed structure of K2MgH2I2.

Cell lengths 4.563, 4.563, 9.596 Å; angles 103.75, 103.75, 90.00 degrees
Element x y z (fractional)
K (0.392, 0.392, 0.785)
H (0.000, 0.500, 0.000)
I (0.839, 0.839, 0.678)
Mg (0.000, 0.000, 0.000)
H (0.500, 0.000, 0.000)
I (0.161, 0.161, 0.322)
K (0.608, 0.608, 0.215)

## Properties
SG = I4/mmm (139)
E_tot = -18.8 eV per formula unit

=====

2.
Density functional theory data (PBE) for a relaxed structure of KMgHI2.

Cell lengths 6.035, 6.035, 3.999 Å; angles 90.00, 90.00, 90.00 degrees
Element x y z (fractional)
K (0.500, 0.500, 0.500)
Mg (0.000, 0.000, 0.000)
H (0.000, 0.000, 0.500)
I (0.500, 0.000, 0.000)
I (0.000, 0.500, 0.000)

## Properties
SG = P4/mmm (123)
E_tot = -13.4 eV per formula unit